Density functional theory data (PBE) for a geometry-optimized La9Tl2Pb structure.

Magnetization = 0.0 μB per formula unit
Energy of formation = -0.29 eV per atom

Lattice parameters (Å, degrees): 5.075 5.075 15.196 90.00 90.00 90.00
Sites, in units of the cell vectors:
La (0.500, 0.500, 0.665)
La (0.500, 0.000, 0.834)
La (0.000, 0.500, 0.166)
La (0.000, 0.500, 0.500)
La (0.500, 0.000, 0.166)
La (0.500, 0.500, 0.335)
La (0.500, 0.500, 0.000)
La (0.000, 0.500, 0.834)
La (0.500, 0.000, 0.500)
Tl (0.000, 0.000, 0.667)
Tl (0.000, 0.000, 0.333)
Pb (0.000, 0.000, 0.000)